## w
# Pr3SO3

A geometry-optimized Pr3SO3 structure (PBE, Alexandria via LeMat-Bulk).

Properties
Its space-group type is R3m, No. 160. Its size of the total moment is 0.14 μB per atom.

Lattice parameters (Å, degrees): 5.745 5.745 5.745 91.51 91.51 91.51
Last column: magnetic moment on the atom in μB.
Positions (direct):
Pr 0.419 0.870 0.870  0.11
Pr 0.870 0.870 0.419  0.11
Pr 0.870 0.419 0.870  0.11
S 0.174 0.174 0.174  0.02
O 0.683 0.683 0.101  0.01
O 0.683 0.101 0.683  0.01
O 0.101 0.683 0.683  0.01

## x
# Pr3SO3

A geometry-optimized Pr3SO3 structure (PBE, Alexandria via LeMat-Bulk).

Properties
Its space-group type is R-3, No. 148. Its size of the total moment is 0.00 μB per atom.

Lattice parameters (Å, degrees): 6.944 6.944 7.944 64.08 64.08 60.00
Positions (direct):
Pr 0.241 0.573 0.279
Pr 0.908 0.241 0.279
Pr 0.573 0.908 0.279
Pr 0.427 0.092 0.721
Pr 0.092 0.759 0.721
Pr 0.759 0.427 0.721
S 0.333 0.333 0.000
S 0.667 0.667 0.000
O 0.453 0.791 0.632
O 0.791 0.124 0.632
O 0.124 0.453 0.632
O 0.876 0.547 0.368
O 0.209 0.876 0.368
O 0.547 0.209 0.368

We find x to be the most stable, with the next structure 0.423 eV/atom higher.

## w
# Pr3S2O2

A geometry-optimized Pr3S2O2 structure (PBE, Alexandria via LeMat-Bulk).

Properties
Its space-group type is C2/m, No. 12. Its size of the total moment is 0.09 μB per atom.

Lattice parameters (Å, degrees): 3.949 7.850 10.088 78.55 78.71 75.43
Last column: magnetic moment on the atom in μB.
Positions (direct):
Pr 0.102 0.963 0.834  0.14
Pr 0.898 0.037 0.166  0.14
Pr 0.137 0.520 0.207  0.10
Pr 0.863 0.480 0.793  0.10
Pr 0.397 0.746 0.460  0.01
Pr 0.603 0.254 0.540  0.01
S 0.257 0.141 0.346  -0.01
S 0.743 0.859 0.654  -0.01
S 0.395 0.240 0.970  -0.01
S 0.605 0.760 0.030  -0.01
O 0.047 0.227 0.679  0.01
O 0.953 0.773 0.321  0.01
O 0.420 0.510 0.650  0.01
O 0.580 0.490 0.350  0.01

## x
# Pr3S2O2

A geometry-optimized Pr3S2O2 structure (PBE, Alexandria via LeMat-Bulk).

Properties
Its space-group type is C2/m, No. 12. Its size of the total moment is 0.00 μB per atom.

Lattice parameters (Å, degrees): 4.010 6.868 6.792 116.77 90.00 106.97
Positions (direct):
Pr 0.000 0.000 0.000
Pr 0.785 0.571 0.306
Pr 0.215 0.429 0.694
S 0.599 0.198 0.833
S 0.401 0.802 0.167
O 0.814 0.628 0.674
O 0.186 0.372 0.326

We find w to be the most stable, with the next structure 0.020 eV/atom higher.

## w
# PrSbO

A geometry-optimized PrSbO structure (PBE, Alexandria via LeMat-Bulk).

Properties
Its space-group type is I4/mmm, No. 139. Its size of the total moment is 0.00 μB per atom.

Lattice parameters (Å, degrees): 4.020 4.020 8.927 103.01 103.01 90.00
Positions (direct):
Pr 0.585 0.585 0.169
Pr 0.415 0.415 0.831
Sb 0.219 0.219 0.439
Sb 0.781 0.781 0.561
O 0.000 0.500 0.000
O 0.500 0.000 0.000

## x
# PrSbO

A geometry-optimized PrSbO structure (PBE, Alexandria via LeMat-Bulk).

Properties
Its space-group type is Cm, No. 8. Its size of the total moment is 0.00 μB per atom.

Lattice parameters (Å, degrees): 3.776 7.042 6.124 82.58 90.00 105.55
Positions (direct):
O 0.295 0.590 0.998
O 0.516 0.033 0.039
Sb 0.147 0.293 0.534
Sb 0.803 0.606 0.500
Pr 0.929 0.859 0.972
Pr 0.686 0.372 0.029

We find x to be the most stable, with the next structure 0.205 eV/atom higher.

## w
# Pr4Sb2O

A geometry-optimized Pr4Sb2O structure (PBE, Alexandria via LeMat-Bulk).

Properties
Its space-group type is I4/mmm, No. 139. Its size of the total moment is 0.00 μB per atom.

Lattice parameters (Å, degrees): 4.684 4.684 10.313 76.88 76.88 90.00
Positions (direct):
Pr 0.324 0.324 0.352
Pr 0.676 0.676 0.648
Pr 0.000 0.500 0.000
Pr 0.500 0.000 0.000
Sb 0.158 0.158 0.685
Sb 0.842 0.842 0.315
O 0.000 0.000 0.000

## x
# Pr4Sb2O

A geometry-optimized Pr4Sb2O structure (PBE, Alexandria via LeMat-Bulk).

Properties
Its space-group type is P2_1/m, No. 11. Its size of the total moment is 0.00 μB per atom.

Lattice parameters (Å, degrees): 6.655 6.840 9.477 90.00 108.97 90.00
Positions (direct):
Pr 0.533 0.495 0.297
Pr 0.157 0.750 0.951
Pr 0.843 0.250 0.049
Pr 0.533 0.005 0.297
Pr 0.934 0.250 0.657
Pr 0.467 0.995 0.703
Pr 0.467 0.505 0.703
Pr 0.066 0.750 0.343
Sb 0.699 0.750 0.027
Sb 0.301 0.250 0.973
Sb 0.165 0.250 0.402
Sb 0.835 0.750 0.598
O 0.300 0.750 0.209
O 0.700 0.250 0.791

We find x to be the most stable, with the next structure 0.165 eV/atom higher.